i.
This record from Alexandria describes crystalline Ba2AlZn3 at its relaxed geometry. The functional is PBE.

The structure in POSCAR format:
```
Ba2AlZn3
1.0
4.704 -4.666 0.000
4.704 4.666 0.000
-4.688 0.000 8.145
Ba Al Zn
4 2 6
Direct
0.232 0.232 0.500
0.250 0.750 0.000
0.750 0.250 0.000
0.768 0.768 0.500
0.337 0.337 0.173
0.663 0.663 0.827
0.171 0.171 0.842
0.176 0.659 0.334
0.341 0.824 0.666
0.659 0.176 0.334
0.824 0.341 0.666
0.829 0.829 0.158
```

Total magnetic moment, μB/cell: 0.0
DOS(E_F), states/eV/f.u.: 5.888

***

ii.
This record from Alexandria describes crystalline Ba2AlZn3 at its relaxed geometry. The functional is PBE.

The structure in POSCAR format:
```
Ba2AlZn3
1.0
11.361 0.000 0.000
0.000 4.730 0.000
-5.337 0.000 6.250
Ba Al Zn
4 2 6
Direct
0.000 0.000 0.000
0.110 0.000 0.651
0.500 0.500 0.000
0.610 0.500 0.651
0.403 0.000 0.238
0.903 0.500 0.238
0.202 0.500 0.412
0.264 0.500 0.124
0.350 0.000 0.522
0.702 0.000 0.412
0.764 0.000 0.124
0.850 0.500 0.522
```

Total magnetic moment, μB/cell: 0.0
DOS(E_F), states/eV/f.u.: 4.517

***

Stability summary - winner: ii; margin: 1.9 kJ/mol of atoms.

***

i.
This record from Alexandria describes crystalline BaAlZn3 at its relaxed geometry. The functional is PBE.

The structure in POSCAR format:
```
BaAlZn3
1.0
3.533 -7.303 0.000
3.533 7.303 0.000
0.000 0.000 4.799
Ba Al Zn
2 2 6
Direct
0.101 0.899 0.750
0.899 0.101 0.250
0.339 0.661 0.750
0.661 0.339 0.250
0.067 0.592 0.250
0.408 0.933 0.250
0.500 0.500 0.000
0.500 0.500 0.500
0.592 0.067 0.750
0.933 0.408 0.750
```

Total magnetic moment, μB/cell: 0.0
DOS(E_F), states/eV/f.u.: 3.046

***

ii.
This record from Alexandria describes crystalline BaAlZn3 at its relaxed geometry. The functional is PBE.

The structure in POSCAR format:
```
BaAlZn3
1.0
6.742 0.000 0.000
-3.371 5.839 0.000
0.000 0.000 5.838
Ba Al Zn
2 2 6
Direct
0.333 0.667 0.250
0.667 0.333 0.750
0.000 0.000 0.000
0.000 0.000 0.500
0.197 0.394 0.750
0.197 0.803 0.750
0.394 0.197 0.250
0.606 0.803 0.750
0.803 0.197 0.250
0.803 0.606 0.250
```

Total magnetic moment, μB/cell: 0.0
DOS(E_F), states/eV/f.u.: 2.625

***

Stability summary - winner: ii; margin: 10.7 kJ/mol of atoms.

***

i.
This record from Alexandria describes crystalline BaZr3Al at its relaxed geometry. The functional is PBE.

The structure in POSCAR format:
```
BaZr3Al
1.0
5.257 0.000 0.000
0.000 5.257 0.000
0.000 0.000 5.257
Ba Zr Al
1 3 1
Direct
0.000 0.000 0.000
0.000 0.000 0.500
0.000 0.500 0.000
0.500 0.000 0.000
0.500 0.500 0.500
```

Total magnetic moment, μB/cell: 0.9
DOS(E_F), states/eV/f.u.: 3.416

***

ii.
This record from Alexandria describes crystalline BaZr3Al at its relaxed geometry. The functional is PBE.

The structure in POSCAR format:
```
BaZr3Al
1.0
5.281 0.000 0.000
0.000 5.281 0.000
0.000 0.000 5.281
Ba Zr Al
1 3 1
Direct
0.000 0.000 0.000
0.000 0.500 0.500
0.500 0.000 0.500
0.500 0.500 0.000
0.500 0.500 0.500
```

Total magnetic moment, μB/cell: 0.0
DOS(E_F), states/eV/f.u.: 10.921

***

Stability summary - winner: ii; margin: 107.9 kJ/mol of atoms.

***

i.
This record from Alexandria describes crystalline BaZrAl3 at its relaxed geometry. The functional is PBE.

The structure in POSCAR format:
```
BaZrAl3
1.0
5.396 0.000 0.000
0.000 5.396 0.000
0.000 0.000 5.396
Ba Zr Al
1 1 3
Direct
0.000 0.000 0.000
0.500 0.500 0.500
0.000 0.000 0.500
0.000 0.500 0.000
0.500 0.000 0.000
```

Total magnetic moment, μB/cell: 1.1
DOS(E_F), states/eV/f.u.: 4.269

***

ii.
This record from Alexandria describes crystalline BaZrAl3 at its relaxed geometry. The functional is PBE.

The structure in POSCAR format:
```
BaZrAl3
1.0
5.352 0.000 0.000
0.000 5.352 0.000
0.000 0.000 5.352
Ba Zr Al
1 1 3
Direct
0.000 0.000 0.000
0.500 0.500 0.500
0.000 0.500 0.500
0.500 0.000 0.500
0.500 0.500 0.000
```

Total magnetic moment, μB/cell: 0.9
DOS(E_F), states/eV/f.u.: 7.856

***

Stability summary - winner: ii; margin: 142.0 kJ/mol of atoms.